Entry 1:
Density functional theory data (meta-GGA SCAN) for a crystal of K2AlAu relaxed with PBEsol.

The space group is Cm (No. 8) and the conventional cell measures 7.573, 4.369 and 9.424 Å, with angles of 90.00, 104.66 and 90.00 degrees. The distinct sites, in fractional coordinates, are K at (0.000, 0.000, 0.000), K at (0.170, 0.000, 0.540), Al at (0.252, 0.500, 0.270) and Au at (0.418, 0.000, 0.270).

For the raw total energy, the calculation gives -23.68 eV per atom. The energy above the most stable polymorph in this dataset comes out at 0 meV/atom. For the density of states at the Fermi level, the calculation gives 5.116 states/eV/cell. The calculation puts the energy relative to the elements at -289 meV/atom.

=====

Entry 2:
Density functional theory data (meta-GGA SCAN) for a crystal of KAlAu2 relaxed with PBEsol.

The space group is F-43m (No. 216) and the conventional cell measures 6.885, 6.885 and 6.885 Å, with angles of 90.00, 90.00 and 90.00 degrees. The distinct sites, in fractional coordinates, are K at (0.000, 0.000, 0.000), Al at (0.250, 0.250, 0.250), Au at (0.000, 0.000, 0.500) and Au at (0.250, 0.250, 0.750).

For the raw total energy, the calculation gives -38.48 eV per atom. The energy above the most stable polymorph in this dataset comes out at 633 meV/atom. For the density of states at the Fermi level, the calculation gives 5.686 states/eV/cell. The calculation puts the energy relative to the elements at 117 meV/atom.

=====

> What is the energy relative to the elements in the second record?

117 meV/atom

=====

> The lowest raw total energy belongs to which entry?

KAlAu2